{
  "formula": "PrPa2Si2N6",
  "functional": "PBE-GGA",
  "state": "relaxed",
  "lattice": [[6.0263, 0.0000, 0.0000], [-3.0132, 5.2190, 0.0000], [0.0000, 0.0000, 5.9454]],
  "species": ["Si", "Si", "Pa", "Pa", "N", "N", "N", "N", "N", "N", "Pr"],
  "frac_coords": [[0.3333, 0.6667, 0.3313], [0.6667, 0.3333, 0.6687], [0.6667, 0.3333, 0.1382], [0.3333, 0.6667, 0.8618], [0.3386, 0.9351, 0.1922], [0.5965, 0.6614, 0.1922], [0.6614, 0.0649, 0.8078], [0.0649, 0.4035, 0.1922], [0.9351, 0.5965, 0.8078], [0.4035, 0.3386, 0.8078], [0.0000, 0.0000, 0.0000]]
}

***

{
  "formula": "K4MgU3O12",
  "functional": "PBE-GGA",
  "state": "relaxed",
  "lattice": [[-2.0753, -6.0294, -3.7495], [5.5987, 3.2970, -3.5360], [2.1816, -1.9507, 6.7937]],
  "species": ["O", "O", "O", "O", "O", "O", "O", "O", "O", "O", "O", "O", "U", "U", "U", "K", "K", "K", "K", "Mg"],
  "frac_coords": [[0.7340, 0.0000, 0.7340], [0.7500, 0.5000, 0.2500], [0.2660, 0.0000, 0.2660], [0.0000, 0.2660, 0.2660], [0.2660, 0.2660, 0.0000], [0.5000, 0.7500, 0.2500], [0.0000, 0.7340, 0.7340], [0.2500, 0.7500, 0.5000], [0.7500, 0.2500, 0.5000], [0.5000, 0.2500, 0.7500], [0.7340, 0.7340, 0.0000], [0.2500, 0.5000, 0.7500], [0.5000, 0.0000, 0.5000], [0.0000, 0.5000, 0.5000], [0.5000, 0.5000, 0.0000], [0.5000, 0.5000, 0.5000], [0.0000, 0.0000, 0.5000], [0.0000, 0.5000, 0.0000], [0.5000, 0.0000, 0.0000], [0.0000, 0.0000, 0.0000]]
}

***

no.,formation energy (no corrections) (eV per atom),V (Å³/atom)
1,-0.95,17.00
2,-2.77,15.58